## KH2Pt2 (PBE)

Data for an optimized crystal structure of KH2Pt2.

```
5
Lattice="3.844 0.000 0.000 0.000 3.844 0.000 1.922 1.922 5.808" Properties=species:S:1:pos:R:3 pbc="T T T"
Pt 3.844 3.844 3.045
Pt 1.922 1.922 2.763
H 1.922 3.844 2.904
H 3.844 1.922 2.904
K 0.000 0.000 0.000
```

Results
* energy: -20.62 eV/f.u.
* DOS at the Fermi energy: 0.9 states/eV per cell
* space-group type: I4/mmm